# 1
! AlMoIr2Pt, optimized geometry, DFT GGA-PBE; values from VASP
&SYSTEM
  ibrav = 0, nat = 5, ntyp = 4
/
ATOMIC_SPECIES
Ir 192.22 Ir.upf
Al 26.98 Al.upf
Mo 95.94 Mo.upf
Pt 195.08 Pt.upf
ATOMIC_POSITIONS crystal
Ir 0.500 0.000 0.000
Al 0.500 0.500 0.500
Mo 0.000 0.500 0.000
Ir 0.000 0.000 0.500
Pt 0.000 0.000 0.000
CELL_PARAMETERS angstrom
4.864 0.000 0.000
0.000 4.688 0.000
0.000 0.000 4.864
! Theoretical density   10518 kg/m3
! Raw total energy   -29.608 eV/cell
! Energy of formation   1.746 eV/atom
! Space group   No. 123
! Crystal system   tetragonal
! Energy above the most stable polymorph in this dataset   3.90 eV/f.u.


# 2
! AlMoIr2Pt, optimized geometry, DFT GGA-PBE; values from VASP
&SYSTEM
  ibrav = 0, nat = 5, ntyp = 4
/
ATOMIC_SPECIES
Ir 192.22 Ir.upf
Al 26.98 Al.upf
Pt 195.08 Pt.upf
Mo 95.94 Mo.upf
ATOMIC_POSITIONS crystal
Ir 0.000 0.000 0.500
Al 0.000 0.000 0.000
Pt 0.000 0.500 0.000
Ir 0.500 0.000 0.000
Mo 0.500 0.500 0.500
CELL_PARAMETERS angstrom
4.450 0.000 0.000
0.000 4.465 0.000
0.000 0.000 4.450
! Theoretical density   13194 kg/m3
! Raw total energy   -33.511 eV/cell
! Energy of formation   0.965 eV/atom
! Space group   No. 123
! Crystal system   tetragonal
! Energy above the most stable polymorph in this dataset   0.00 eV/f.u.


# 3
! AlMoIr2Ru, optimized geometry, DFT GGA-PBE; values from VASP
&SYSTEM
  ibrav = 0, nat = 5, ntyp = 4
/
ATOMIC_SPECIES
Ir 192.22 Ir.upf
Ru 101.07 Ru.upf
Al 26.98 Al.upf
Mo 95.94 Mo.upf
ATOMIC_POSITIONS crystal
Ir 0.500 0.000 0.000
Ru 0.500 0.500 0.500
Ir 0.000 0.000 0.500
Al 0.000 0.000 0.000
Mo 0.000 0.500 0.000
CELL_PARAMETERS angstrom
4.346 0.000 0.000
0.000 4.509 0.000
0.000 0.000 4.346
! Theoretical density   11863 kg/m3
! Raw total energy   -34.866 eV/cell
! Energy of formation   1.341 eV/atom
! Space group   No. 123
! Crystal system   tetragonal